This record from the Alexandria database describes crystalline Nd3Ga2Ni2 at its relaxed geometry. The functional is PBE-GGA.

The structure in POSCAR format:
```
Nd3Ga2Ni2
1.0
5.695 0.000 0.000
0.000 8.157 0.000
0.000 0.000 13.082
Nd Ga Ni
12 8 8
direct
0.150 0.250 0.250 Nd
0.150 0.250 0.750 Nd
0.349 0.604 0.099 Nd
0.349 0.604 0.401 Nd
0.349 0.896 0.599 Nd
0.349 0.896 0.901 Nd
0.651 0.104 0.099 Nd
0.651 0.104 0.401 Nd
0.651 0.396 0.599 Nd
0.651 0.396 0.901 Nd
0.850 0.750 0.250 Nd
0.850 0.750 0.750 Nd
0.143 0.250 0.000 Ga
0.143 0.250 0.500 Ga
0.338 0.603 0.750 Ga
0.338 0.897 0.250 Ga
0.662 0.103 0.750 Ga
0.662 0.397 0.250 Ga
0.857 0.750 0.000 Ga
0.857 0.750 0.500 Ga
0.118 0.533 0.588 Ni
0.118 0.533 0.912 Ni
0.118 0.967 0.088 Ni
0.118 0.967 0.412 Ni
0.882 0.033 0.588 Ni
0.882 0.033 0.912 Ni
0.882 0.467 0.088 Ni
0.882 0.467 0.412 Ni
```

Output
Its calculated volume is 607.7 Å³ per cell. The density of states at the Fermi level comes out at 6.41 states/eV/f.u. For the formation energy, the calculation gives -0.50 eV/atom. For the uncorrected energy, the calculation gives -141.68 eV for the cell shown.